(1)
Material: RbTaCd
Method: DFT, PBE-GGA
State: optimized geometry Values from VASP.

- ΔE to the lowest computed polymorph: 122 meV/atom
- DFT total energy: -24.39 eV per cell
- Volume: 38.718 Å³/atom
- DFT formation energy: 0.51 eV per atom

The structure in Quantum ESPRESSO input format:
```
&SYSTEM
  ibrav = 0, nat = 6, ntyp = 3
/
ATOMIC_SPECIES
Rb 85.47 Rb.upf
Ta 180.95 Ta.upf
Cd 112.41 Cd.upf
ATOMIC_POSITIONS crystal
Rb 0.0000 0.0000 0.0000
Rb 0.2226 0.4118 0.6366
Ta 0.1114 0.2059 0.3183
Ta 0.4455 0.8741 0.3183
Cd 0.7370 0.4633 0.1999
Cd 0.8198 0.6166 0.4368
CELL_PARAMETERS angstrom
4.6518 0.0000 0.0000
-2.3254 4.0298 0.0000
-0.1203 -2.6094 12.3925
```

(2)
Material: Cd5SnPb
Method: DFT, PBE-GGA
State: optimized geometry Values from VASP.

- DFT total energy: -23.29 eV per cell
- Volume: 26.835 Å³/atom
- DFT formation energy: 0.09 eV per atom

The structure in Quantum ESPRESSO input format:
```
&SYSTEM
  ibrav = 0, nat = 14, ntyp = 3
/
ATOMIC_SPECIES
Cd 112.41 Cd.upf
Sn 118.71 Sn.upf
Pb 207.20 Pb.upf
ATOMIC_POSITIONS crystal
Cd 0.0000 0.0000 0.0000
Cd 0.2500 0.2500 0.2543
Cd 0.2500 0.2500 0.7457
Cd 0.2500 0.7500 0.2543
Cd 0.2500 0.7500 0.7457
Cd 0.5000 0.5000 0.0000
Cd 0.7500 0.2500 0.2543
Cd 0.7500 0.2500 0.7457
Cd 0.7500 0.7500 0.2543
Cd 0.7500 0.7500 0.7457
Sn 0.0000 0.5000 0.0000
Sn 0.5000 0.0000 0.0000
Pb 0.0000 0.0000 0.5000
Pb 0.5000 0.5000 0.5000
CELL_PARAMETERS angstrom
6.2571 0.0000 0.0000
0.0000 9.3002 0.0000
0.0000 0.0000 6.4558
```

(3)
Material: Mg2SiAg
Method: DFT, PBE-GGA
State: optimized geometry Values from VASP.

- DFT total energy: -22.94 eV per cell
- Volume: 18.322 Å³/atom
- E_form (uncorrected): 0.00 eV/atom

The structure in Quantum ESPRESSO input format:
```
&SYSTEM
  ibrav = 0, nat = 8, ntyp = 3
/
ATOMIC_SPECIES
Mg 24.30 Mg.upf
Si 28.09 Si.upf
Ag 107.87 Ag.upf
ATOMIC_POSITIONS crystal
Mg 0.0000 0.0000 0.0000
Mg 0.0000 0.5000 0.2500
Mg 0.5000 0.0000 0.7500
Mg 0.5000 0.5000 0.5000
Si 0.0000 0.5000 0.7500
Si 0.5000 0.0000 0.2500
Ag 0.0000 0.0000 0.5000
Ag 0.5000 0.5000 0.0000
CELL_PARAMETERS angstrom
4.1037 0.0000 0.0000
0.0000 4.1037 0.0000
0.0000 0.0000 8.7041
```

(4)
Material: GaCo2P2
Method: DFT, PBE-GGA
State: optimized geometry Values from VASP.

- DFT total energy: -57.10 eV per cell
- Volume: 13.352 Å³/atom
- DFT formation energy: -0.10 eV per atom

The structure in Quantum ESPRESSO input format:
```
&SYSTEM
  ibrav = 0, nat = 10, ntyp = 3
/
ATOMIC_SPECIES
Ga 69.72 Ga.upf
Co 58.93 Co.upf
P 30.97 P.upf
ATOMIC_POSITIONS crystal
Ga 0.0000 0.0000 0.0000
Ga 0.5000 0.5000 0.5000
Co 0.0000 0.0000 0.3727
Co 0.0000 0.0000 0.6273
Co 0.5000 0.5000 0.1273
Co 0.5000 0.5000 0.8727
P 0.0000 0.5000 0.2500
P 0.0000 0.5000 0.7500
P 0.5000 0.0000 0.2500
P 0.5000 0.0000 0.7500
CELL_PARAMETERS angstrom
3.4949 0.0000 0.0000
0.0000 3.4949 0.0000
0.0000 0.0000 10.9313
```

(5)
Material: SiAu
Method: DFT, PBE-GGA
State: optimized geometry Values from VASP.

- DFT total energy: -50.21 eV per cell
- Volume: 20.306 Å³/atom
- E_form (uncorrected): 0.17 eV/atom

The structure in Quantum ESPRESSO input format:
```
&SYSTEM
  ibrav = 0, nat = 12, ntyp = 2
/
ATOMIC_SPECIES
Si 28.09 Si.upf
Au 196.97 Au.upf
ATOMIC_POSITIONS crystal
Si 0.0000 0.1097 0.0000
Si 0.1902 0.3439 0.2745
Si 0.3098 0.6561 0.7745
Si 0.5000 0.8903 0.5000
Si 0.6902 0.6561 0.7745
Si 0.8098 0.3439 0.2745
Au 0.0000 0.6324 0.2037
Au 0.2182 0.1687 0.7652
Au 0.2818 0.8313 0.2652
Au 0.5000 0.3676 0.7037
Au 0.7182 0.8313 0.2652
Au 0.7818 0.1687 0.7652
CELL_PARAMETERS angstrom
10.7273 0.0000 0.0000
0.0000 4.7590 0.0000
0.0000 0.0000 4.7731
```

(6)
Material: Ba4Tl2P
Method: DFT, PBE-GGA
State: optimized geometry Values from VASP.

- DFT total energy: -43.32 eV per cell
- Volume: 43.772 Å³/atom
- DFT formation energy: -0.55 eV per atom

The structure in Quantum ESPRESSO input format:
```
&SYSTEM
  ibrav = 0, nat = 14, ntyp = 3
/
ATOMIC_SPECIES
Ba 137.33 Ba.upf
Tl 204.38 Tl.upf
P 30.97 P.upf
ATOMIC_POSITIONS crystal
Ba 0.0832 0.0000 0.3627
Ba 0.1612 0.5000 0.0700
Ba 0.3388 0.0000 0.9300
Ba 0.4168 0.5000 0.6373
Ba 0.5832 0.5000 0.3627
Ba 0.6612 0.0000 0.0700
Ba 0.8388 0.5000 0.9300
Ba 0.9168 0.0000 0.6373
Tl 0.1167 0.5000 0.6648
Tl 0.3833 0.0000 0.3352
Tl 0.6167 0.0000 0.6648
Tl 0.8833 0.5000 0.3352
P 0.0000 0.0000 0.0000
P 0.5000 0.5000 0.0000
CELL_PARAMETERS angstrom
15.7346 0.0000 0.0000
0.0000 4.6235 0.0000
-5.9155 0.0000 8.4236
```

(7)
Material: LaTeS2N
Method: DFT, PBE-GGA
State: optimized geometry Values from VASP.

- ΔE to the lowest computed polymorph: 0 meV/atom
- DFT total energy: -25.87 eV per cell
- Volume: 21.708 Å³/atom
- E_form (uncorrected): -0.24 eV/atom

The structure in Quantum ESPRESSO input format:
```
&SYSTEM
  ibrav = 0, nat = 5, ntyp = 4
/
ATOMIC_SPECIES
La 138.91 La.upf
Te 127.60 Te.upf
S 32.06 S.upf
N 14.01 N.upf
ATOMIC_POSITIONS crystal
La 0.0000 0.0000 0.0000
Te 0.5000 0.5000 0.5000
S 0.0000 0.5000 0.5000
S 0.5000 0.0000 0.5000
N 0.5000 0.5000 0.0000
CELL_PARAMETERS angstrom
5.1587 0.0000 0.0000
0.0000 5.1587 0.0000
0.0000 0.0000 4.0785
```

(8)
Material: Tm2Al2ZnIr5
Method: DFT, PBE-GGA
State: optimized geometry Values from VASP.

- DFT total energy: -137.82 eV per cell
- Volume: 16.538 Å³/atom
- DFT formation energy: -0.69 eV per atom

The structure in Quantum ESPRESSO input format:
```
&SYSTEM
  ibrav = 0, nat = 20, ntyp = 4
/
ATOMIC_SPECIES
Tm 168.93 Tm.upf
Al 26.98 Al.upf
Zn 65.41 Zn.upf
Ir 192.22 Ir.upf
ATOMIC_POSITIONS crystal
Tm 0.1742 0.3258 0.0000
Tm 0.3258 0.8258 0.0000
Tm 0.6742 0.1742 0.0000
Tm 0.8258 0.6742 0.0000
Al 0.1260 0.6260 0.0000
Al 0.3740 0.1260 0.0000
Al 0.6260 0.8740 0.0000
Al 0.8740 0.3740 0.0000
Zn 0.0000 0.0000 0.0000
Zn 0.5000 0.5000 0.0000
Ir 0.0000 0.5000 0.5000
Ir 0.0642 0.7967 0.5000
Ir 0.2033 0.0642 0.5000
Ir 0.2967 0.5642 0.5000
Ir 0.4358 0.2967 0.5000
Ir 0.5000 0.0000 0.5000
Ir 0.5642 0.7033 0.5000
Ir 0.7033 0.4358 0.5000
Ir 0.7967 0.9358 0.5000
Ir 0.9358 0.2033 0.5000
CELL_PARAMETERS angstrom
9.7867 0.0000 0.0000
0.0000 9.7867 0.0000
0.0000 0.0000 3.4533
```

(9)
Material: ReSiOs2
Method: DFT, PBE-GGA
State: optimized geometry Values from VASP.

- DFT total energy: -79.35 eV per cell
- Volume: 14.074 Å³/atom
- E_form (uncorrected): 0.16 eV/atom

The structure in Quantum ESPRESSO input format:
```
&SYSTEM
  ibrav = 0, nat = 8, ntyp = 3
/
ATOMIC_SPECIES
Re 186.21 Re.upf
Si 28.09 Si.upf
Os 190.23 Os.upf
ATOMIC_POSITIONS crystal
Re 0.0000 0.0000 0.0000
Re 0.5000 0.5000 0.5000
Si 0.0000 0.5000 0.7500
Si 0.5000 0.0000 0.2500
Os 0.0000 0.0000 0.5000
Os 0.0000 0.5000 0.2500
Os 0.5000 0.0000 0.7500
Os 0.5000 0.5000 0.0000
CELL_PARAMETERS angstrom
3.7772 0.0000 0.0000
0.0000 3.7772 0.0000
0.0000 0.0000 7.8916
```

(10)
Material: Pm2ZnRu2
Method: DFT, PBE-GGA
State: optimized geometry Values from VASP.

- ΔE to the lowest computed polymorph: 0 meV/atom
- DFT total energy: -61.39 eV per cell
- Volume: 21.152 Å³/atom
- DFT formation energy: -0.27 eV per atom

The structure in Quantum ESPRESSO input format:
```
&SYSTEM
  ibrav = 0, nat = 10, ntyp = 3
/
ATOMIC_SPECIES
Pm 145.00 Pm.upf
Zn 65.41 Zn.upf
Ru 101.07 Ru.upf
ATOMIC_POSITIONS crystal
Pm 0.0000 0.0000 0.2064
Pm 0.0000 0.0000 0.7936
Pm 0.5000 0.5000 0.2936
Pm 0.5000 0.5000 0.7064
Zn 0.0000 0.5000 0.0000
Zn 0.5000 0.0000 0.5000
Ru 0.0000 0.2748 0.5000
Ru 0.0000 0.7252 0.5000
Ru 0.5000 0.2252 0.0000
Ru 0.5000 0.7748 0.0000
CELL_PARAMETERS angstrom
4.3587 0.0000 0.0000
0.0000 5.6912 0.0000
0.0000 0.0000 8.5269
```

(11)
Material: Ba3Li4Ag2
Method: DFT, PBE-GGA
State: optimized geometry Values from VASP.

- ΔE to the lowest computed polymorph: 0 meV/atom
- DFT total energy: -20.02 eV per cell
- Volume: 31.508 Å³/atom
- DFT formation energy: -0.10 eV per atom

The structure in Quantum ESPRESSO input format:
```
&SYSTEM
  ibrav = 0, nat = 9, ntyp = 3
/
ATOMIC_SPECIES
Ba 137.33 Ba.upf
Li 6.94 Li.upf
Ag 107.87 Ag.upf
ATOMIC_POSITIONS crystal
Ba 0.0000 0.0000 0.0000
Ba 0.3923 0.3923 0.6348
Ba 0.6077 0.6077 0.3652
Li 0.1088 0.1088 0.6603
Li 0.2809 0.2809 0.9524
Li 0.7191 0.7191 0.0476
Li 0.8912 0.8912 0.3397
Ag 0.2910 0.2910 0.2414
Ag 0.7090 0.7090 0.7586
CELL_PARAMETERS angstrom
6.1250 -2.5789 0.0000
6.1250 2.5789 0.0000
-3.9092 0.0000 8.9763
```

(12)
Material: Ba2CuGeSe
Method: DFT, PBE-GGA
State: optimized geometry Values from VASP.

- DFT total energy: -16.43 eV per cell
- Volume: 40.099 Å³/atom
- E_form (uncorrected): -0.08 eV/atom

The structure in Quantum ESPRESSO input format:
```
&SYSTEM
  ibrav = 0, nat = 5, ntyp = 4
/
ATOMIC_SPECIES
Ba 137.33 Ba.upf
Cu 63.55 Cu.upf
Ge 72.64 Ge.upf
Se 78.96 Se.upf
ATOMIC_POSITIONS crystal
Ba 0.0000 0.5000 0.0000
Ba 0.5000 0.0000 0.0000
Cu 0.0000 0.0000 0.5000
Ge 0.5000 0.5000 0.0000
Se 0.5000 0.5000 0.5000
CELL_PARAMETERS angstrom
6.2735 0.0000 0.0000
0.0000 6.2735 0.0000
0.0000 0.0000 5.0943
```

| no. | Fermi-level density of states (states/eV/f.u.) |
| --- | --- |
| 1 | 2.44 |
| 2 | 3.41 |
| 3 | 0.82 |
| 4 | 4.48 |
| 5 | 0.84 |
| 6 | 6.82 |
| 7 | 1.58 |
| 8 | 4.28 |
| 9 | 3.52 |
| 10 | 4.10 |
| 11 | 6.20 |
| 12 | 3.12 |